Record 1
An optimized crystal structure of PrTh2MoN4. Source: the Alexandria database, functional PBE.

Summary:
The calculation puts the energy relative to the elements, uncorrected at -1.07 eV per atom. The total magnetization is 0.00 μB per cell. The value obtained for the density of states at the Fermi level is 0.549 states/eV/atom.

Cell: 6.3654 6.3654 12.0704 Å, 90.00 90.00 147.62°
Fractional positions:
1 Pr 0.1207 0.8793 0.7500
2 Pr 0.8793 0.1207 0.2500
3 Th 0.3673 0.6327 0.5467
4 Th 0.3673 0.6327 0.9533
5 Th 0.6327 0.3673 0.0467
6 Th 0.6327 0.3673 0.4533
7 Mo 0.1445 0.8555 0.2500
8 Mo 0.8555 0.1445 0.7500
9 N 0.0000 0.0000 0.0000
10 N 0.0000 0.0000 0.5000
11 N 0.2695 0.7305 0.1295
12 N 0.2695 0.7305 0.3705
13 N 0.4453 0.5547 0.7500
14 N 0.5547 0.4453 0.2500
15 N 0.7305 0.2695 0.6295
16 N 0.7305 0.2695 0.8705


Record 2
An optimized crystal structure of Pr2TiMoN5. Source: the Alexandria database, functional PBE.

Summary:
The calculation puts the energy relative to the elements, uncorrected at -1.07 eV per atom. The total magnetization is 0.00 μB per cell. The value obtained for the density of states at the Fermi level is 0.362 states/eV/atom.

Cell: 7.1199 7.1199 10.4473 Å, 90.00 90.00 152.49°
Fractional positions:
1 Pr 0.1144 0.8856 0.5000
2 Pr 0.1443 0.8557 0.1258
3 Pr 0.8557 0.1443 0.6258
4 Pr 0.8856 0.1144 0.0000
5 Ti 0.2192 0.7808 0.8426
6 Ti 0.7808 0.2192 0.3426
7 Mo 0.4535 0.5465 0.2720
8 Mo 0.5465 0.4535 0.7720
9 N 0.0490 0.9510 0.8625
10 N 0.2864 0.7136 0.4702
11 N 0.3199 0.6801 0.2079
12 N 0.3552 0.6448 0.8247
13 N 0.4944 0.5056 0.6093
14 N 0.5056 0.4944 0.1093
15 N 0.6448 0.3552 0.3247
16 N 0.6801 0.3199 0.7079
17 N 0.7136 0.2864 0.9702
18 N 0.9510 0.0490 0.3625


Record 3
An optimized crystal structure of Pr2MoWN6. Source: the Alexandria database, functional PBE.

Summary:
The calculation puts the energy relative to the elements, uncorrected at -0.81 eV per atom. The total magnetization is 0.00 μB per cell. The value obtained for the density of states at the Fermi level is 0.535 states/eV/atom.

Cell: 5.6513 5.6621 9.7646 Å, 90.00 125.34 90.00°
Fractional positions:
1 Pr 0.2451 0.0317 0.2498
2 Pr 0.2451 0.4683 0.7498
3 Pr 0.7549 0.5317 0.2502
4 Pr 0.7549 0.9683 0.7502
5 Mo 0.0000 0.0000 0.5000
6 Mo 0.0000 0.5000 0.0000
7 W 0.5000 0.0000 0.0000
8 W 0.5000 0.5000 0.5000
9 N 0.1879 0.2181 0.9654
10 N 0.1879 0.2819 0.4654
11 N 0.2441 0.7195 0.9656
12 N 0.2441 0.7805 0.4656
13 N 0.3159 0.0083 0.7503
14 N 0.3159 0.4917 0.2503
15 N 0.6841 0.5083 0.7497
16 N 0.6841 0.9917 0.2497
17 N 0.7559 0.2195 0.5344
18 N 0.7559 0.2805 0.0344
19 N 0.8121 0.7181 0.5346
20 N 0.8121 0.7819 0.0346


Record 4
An optimized crystal structure of PrY2MoN4. Source: the Alexandria database, functional PBE.

Summary:
The calculation puts the energy relative to the elements, uncorrected at -1.12 eV per atom. The total magnetization is 0.00 μB per cell. The value obtained for the density of states at the Fermi level is 0.281 states/eV/atom.

Cell: 6.1892 6.1892 11.9146 Å, 90.00 90.00 147.59°
Fractional positions:
1 Pr 0.0931 0.9069 0.7500
2 Pr 0.9069 0.0931 0.2500
3 Y 0.3702 0.6298 0.5396
4 Y 0.3702 0.6298 0.9604
5 Y 0.6298 0.3702 0.0396
6 Y 0.6298 0.3702 0.4604
7 Mo 0.1654 0.8346 0.2500
8 Mo 0.8346 0.1654 0.7500
9 N 0.0000 0.0000 0.0000
10 N 0.0000 0.0000 0.5000
11 N 0.2626 0.7374 0.1217
12 N 0.2626 0.7374 0.3783
13 N 0.4346 0.5654 0.7500
14 N 0.5654 0.4346 0.2500
15 N 0.7374 0.2626 0.6217
16 N 0.7374 0.2626 0.8783


Record 5
An optimized crystal structure of Pr2ZrMo2N6. Source: the Alexandria database, functional PBE.

Summary:
The calculation puts the energy relative to the elements, uncorrected at -0.74 eV per atom. The total magnetization is 0.00 μB per cell. The value obtained for the density of states at the Fermi level is 0.187 states/eV/atom.

Cell: 6.7490 6.7490 6.7490 Å, 50.69 50.69 50.69°
Fractional positions:
1 Pr 0.2050 0.2050 0.2050
2 Pr 0.7950 0.7950 0.7950
3 Zr 0.0000 0.0000 0.0000
4 Mo 0.3954 0.3954 0.3954
5 Mo 0.6046 0.6046 0.6046
6 N 0.2237 0.7491 0.7491
7 N 0.2509 0.2509 0.7763
8 N 0.2509 0.7763 0.2509
9 N 0.7491 0.2237 0.7491
10 N 0.7491 0.7491 0.2237
11 N 0.7763 0.2509 0.2509


Record 6
An optimized crystal structure of MoPt3N. Source: the Alexandria database, functional PBE.

Summary:
The calculation puts the energy relative to the elements, uncorrected at 2.21 eV per atom. The total magnetization is 2.33 μB per cell. The value obtained for the density of states at the Fermi level is 1.004 states/eV/atom. The energy above the most stable polymorph in this dataset is 1.455 eV/atom.

Cell: 4.8504 4.8504 4.8504 Å, 90.00 90.00 90.00°
Fractional positions:
1 Mo 0.0000 0.0000 0.0000
2 Pt 0.0000 0.0000 0.5000
3 Pt 0.0000 0.5000 0.0000
4 Pt 0.5000 0.0000 0.0000
5 N 0.5000 0.5000 0.5000